La3RuAu: relaxed, PBE. Values from VASP.

Results
DFT formation energy (eV per formula unit): -2.39

Structure (Quantum ESPRESSO input):
```
&SYSTEM
  ibrav = 0, nat = 10, ntyp = 3
/
ATOMIC_SPECIES
La 138.91 La.upf
Au 196.97 Au.upf
Ru 101.07 Ru.upf
CELL_PARAMETERS angstrom
-6.273 4.418 16.317
-5.504 4.148 4.414
1.763 -5.916 -5.373
ATOMIC_POSITIONS crystal
La 0.952 0.428 0.572
Au 0.567 0.835 0.165
Ru 0.897 0.300 0.700
La 0.307 0.937 0.063
La 0.048 0.572 0.428
La 0.693 0.063 0.937
La 0.313 0.636 0.364
Au 0.433 0.165 0.835
La 0.687 0.364 0.636
Ru 0.103 0.700 0.300
```

***

FeCoSn6: relaxed, PBE. Values from VASP.

Results
DFT formation energy (eV per formula unit): 1.51

Structure (Quantum ESPRESSO input):
```
&SYSTEM
  ibrav = 0, nat = 8, ntyp = 3
/
ATOMIC_SPECIES
Sn 118.71 Sn.upf
Fe 55.84 Fe.upf
Co 58.93 Co.upf
CELL_PARAMETERS angstrom
5.809 -0.046 -0.007
-2.204 5.375 -0.007
-0.668 -0.987 6.325
ATOMIC_POSITIONS crystal
Sn 0.588 0.922 0.752
Fe 0.500 0.500 0.500
Sn 0.257 0.257 0.760
Co 0.000 0.000 0.000
Sn 0.078 0.412 0.248
Sn 0.922 0.588 0.752
Sn 0.412 0.078 0.248
Sn 0.743 0.743 0.240
```

***

Tm3HgC: relaxed, PBE. Values from VASP.

Results
DFT formation energy (eV per formula unit): -2.11

Structure (Quantum ESPRESSO input):
```
&SYSTEM
  ibrav = 0, nat = 5, ntyp = 3
/
ATOMIC_SPECIES
Tm 168.93 Tm.upf
C 12.01 C.upf
Hg 200.59 Hg.upf
CELL_PARAMETERS angstrom
-0.328 -2.109 4.320
2.920 -3.528 -1.500
3.819 2.516 1.518
ATOMIC_POSITIONS crystal
Tm 0.500 0.000 0.000
Tm 0.000 0.000 0.500
Tm 0.000 0.500 0.000
C 0.000 0.000 0.000
Hg 0.500 0.500 0.500
```

***

Sr2Mg: relaxed, PBE. Values from VASP.

Results
DFT formation energy (eV per formula unit): 0.21

Structure (Quantum ESPRESSO input):
```
&SYSTEM
  ibrav = 0, nat = 6, ntyp = 2
/
ATOMIC_SPECIES
Sr 87.62 Sr.upf
Mg 24.30 Mg.upf
CELL_PARAMETERS angstrom
1.864 3.984 8.987
-2.224 -7.306 -6.464
6.319 -1.258 -0.753
ATOMIC_POSITIONS crystal
Sr 0.133 0.867 0.250
Sr 0.435 0.565 0.250
Mg 0.219 0.781 0.750
Sr 0.867 0.133 0.750
Sr 0.565 0.435 0.750
Mg 0.781 0.219 0.250
```

***

AcBiIr4: relaxed, PBE. Values from VASP.

Results
DFT formation energy (eV per formula unit): -0.82

Structure (Quantum ESPRESSO input):
```
&SYSTEM
  ibrav = 0, nat = 6, ntyp = 3
/
ATOMIC_SPECIES
Bi 208.98 Bi.upf
Ac 227.00 Ac.upf
Ir 192.22 Ir.upf
CELL_PARAMETERS angstrom
-5.183 0.356 1.835
-3.501 -4.178 -0.806
-1.632 -3.088 4.262
ATOMIC_POSITIONS crystal
Bi 0.000 0.000 0.000
Ac 0.250 0.250 0.250
Ir 0.626 0.122 0.626
Ir 0.626 0.626 0.122
Ir 0.626 0.626 0.626
Ir 0.122 0.626 0.626
```

***

LiSm6S5: relaxed, PBE. Values from VASP.

Results
Uncorrected formation energy (kJ per mole of atoms): -153.1

Structure (Quantum ESPRESSO input):
```
&SYSTEM
  ibrav = 0, nat = 24, ntyp = 3
/
ATOMIC_SPECIES
Sm 150.36 Sm.upf
S 32.06 S.upf
Li 6.94 Li.upf
CELL_PARAMETERS angstrom
-2.336 -6.266 -1.153
3.181 3.398 -4.938
12.280 -5.355 4.226
ATOMIC_POSITIONS crystal
Sm 0.000 0.341 0.885
S 0.663 0.000 0.750
Sm 0.341 0.341 0.115
Sm 0.000 0.659 0.115
S 0.333 0.667 0.000
Sm 0.000 0.341 0.615
Sm 0.659 0.659 0.615
S 0.000 0.337 0.250
Li 0.000 0.000 0.250
S 0.000 0.663 0.750
S 0.667 0.333 0.000
Sm 0.659 0.000 0.115
S 0.667 0.333 0.500
S 0.337 0.337 0.750
S 0.333 0.667 0.500
S 0.663 0.663 0.250
Sm 0.659 0.000 0.385
Sm 0.341 0.000 0.885
Sm 0.000 0.659 0.385
S 0.337 0.000 0.250
Sm 0.659 0.659 0.885
Sm 0.341 0.341 0.385
Sm 0.341 0.000 0.615
Li 0.000 0.000 0.750
```

***

ZrFe10B3: relaxed, PBE. Values from VASP.

Results
DFT formation energy (eV per formula unit): -2.89

Structure (Quantum ESPRESSO input):
```
&SYSTEM
  ibrav = 0, nat = 28, ntyp = 3
/
ATOMIC_SPECIES
Fe 55.84 Fe.upf
Zr 91.22 Zr.upf
B 10.81 B.upf
CELL_PARAMETERS angstrom
6.566 0.000 3.791
2.189 6.190 3.791
0.000 0.000 7.582
ATOMIC_POSITIONS crystal
Fe 0.614 0.614 0.614
Fe 0.386 0.386 0.386
Fe 0.664 0.000 0.000
Fe 0.664 0.000 0.336
Fe 0.336 0.000 0.000
Fe 0.000 0.000 0.664
Fe 0.000 0.664 0.000
Fe 0.336 0.664 0.000
Zr 0.750 0.750 0.750
B 0.727 0.273 0.273
B 0.273 0.727 0.273
B 0.273 0.727 0.727
Fe 0.000 0.000 0.336
Fe 0.386 0.841 0.386
Fe 0.614 0.614 0.159
B 0.727 0.273 0.727
Zr 0.250 0.250 0.250
Fe 0.000 0.336 0.000
Fe 0.664 0.336 0.000
Fe 0.336 0.000 0.664
Fe 0.841 0.386 0.386
Fe 0.614 0.159 0.614
B 0.273 0.273 0.727
Fe 0.000 0.664 0.336
Fe 0.000 0.336 0.664
Fe 0.159 0.614 0.614
Fe 0.386 0.386 0.841
B 0.727 0.727 0.273
```

***

HoEr3Te6: relaxed, PBE. Values from VASP.

Results
Uncorrected formation energy (kJ per mole of atoms): -129.8

Structure (Quantum ESPRESSO input):
```
&SYSTEM
  ibrav = 0, nat = 20, ntyp = 3
/
ATOMIC_SPECIES
Ho 164.93 Ho.upf
Te 127.60 Te.upf
Er 167.26 Er.upf
CELL_PARAMETERS angstrom
-3.887 -1.528 1.097
2.486 -10.595 -5.949
3.789 -0.955 12.097
ATOMIC_POSITIONS crystal
Ho 0.250 0.956 0.306
Te 0.750 0.483 0.618
Er 0.250 0.316 0.498
Er 0.250 0.569 0.166
Te 0.750 0.110 0.467
Te 0.250 0.517 0.382
Te 0.750 0.809 0.750
Te 0.750 0.917 0.101
Er 0.750 0.431 0.834
Te 0.750 0.393 0.062
Te 0.250 0.191 0.250
Te 0.250 0.607 0.938
Ho 0.750 0.044 0.694
Er 0.250 0.844 0.920
Te 0.250 0.083 0.899
Er 0.750 0.684 0.502
Er 0.750 0.156 0.080
Te 0.750 0.748 0.280
Te 0.250 0.252 0.720
Te 0.250 0.890 0.533
```

***

What total DFT energy (no corrections) values result from the calculations? In sequence: -5.946, -4.759, -5.010, -1.581, -7.376, -5.826, -8.293, -5.057 eV/atom.